Entry 1:
VNi2W2 | PBE-GGA | relaxed

- Energy: -9.126 eV/atom

abc: 7.2284 7.2284 2.6564
angles: 90.00 90.00 90.00
Closest atoms and distances in Å follow each position.
Space group P4/mbm (No. 127)
Symmetry-distinct sites (fractional):
V1 0.0000 0.0000 0.0000  2 V 2.66, 4 Ni 2.89, 8 W 2.97
Ni1 0.1180 0.3820 0.0000  3 Ni 2.41-2.66, 6 W 2.47-2.56
W1 0.1783 0.6783 0.5000  6 Ni 2.47-2.56, 2 W 2.66



Entry 2:
VNiW2 | PBE-GGA | relaxed

- Relative energy among the computed polymorphs: 0 meV/atom

abc: 3.7838 3.7838 3.9927
angles: 90.00 90.00 90.00
Closest atoms and distances in Å follow each position.
Space group P4/mmm (No. 123)
Symmetry-distinct sites (fractional):
V1 0.0000 0.0000 0.0000  4 Ni 2.68, 8 W 2.75
Ni1 0.5000 0.5000 0.0000  4 V 2.68, 8 W 2.75
W1 0.0000 0.5000 0.5000  4 W 2.68, 4 Ni 2.75, 4 V 2.75



Entry 3:
VNi3W | PBE-GGA | relaxed

- Relative energy among the computed polymorphs: 0 meV/atom

abc: 14.4006 4.1755 4.4000
angles: 90.00 97.95 90.00
Closest atoms and distances in Å follow each position.
Space group C2/m (No. 12)
Symmetry-distinct sites (fractional):
V1 0.1295 0.0000 0.3696  7 Ni 2.32-2.54
Ni1 0.0322 0.0000 0.7652  2 V 2.32-2.38, 3 Ni 2.38-2.59, 2 W 2.45
Ni2 0.1973 0.5000 0.5460  3 V 2.39-2.47, 6 Ni 2.49-2.64, 2 W 2.52-2.67
Ni3 0.2132 0.0000 0.8990  7 Ni 2.45-2.60, 2 V 2.47-2.54, 3 W 2.66-2.70
W1 0.1008 0.5000 0.9824  7 Ni 2.45-2.70, 2 V 2.69



Entry 4:
VNi14W | PBE-GGA | relaxed

- Energy: -6.516 eV/atom

abc: 5.0580 5.0580 7.0346
angles: 90.00 90.00 90.00
Closest atoms and distances in Å follow each position.
Space group P4/mmm (No. 123)
Symmetry-distinct sites (fractional):
V1 0.0000 0.0000 0.0000  12 Ni 2.50-2.53
Ni1 0.0000 0.0000 0.5000  12 Ni 2.50-2.53
Ni2 0.0000 0.5000 0.0000  8 Ni 2.51, 2 W 2.53, 2 V 2.53
Ni3 0.0000 0.5000 0.5000  12 Ni 2.51-2.53
Ni4 0.2480 0.2480 0.2503  10 Ni 2.50-2.55, 1 V 2.50, 1 W 2.52
Ni5 0.5000 0.5000 0.5000  12 Ni 2.52-2.53
W1 0.5000 0.5000 0.0000  12 Ni 2.52-2.53



Entry 5:
VNi2W | PBE-GGA | relaxed

- Relative energy among the computed polymorphs: 509 meV/atom

abc: 6.6057 6.6057 4.9649
angles: 90.00 90.00 90.00
Closest atoms and distances in Å follow each position.
Space group I-42d (No. 122)
Symmetry-distinct sites (fractional):
V1 0.0000 0.0000 0.0000  4 Ni 2.36, 2 W 2.48
Ni1 0.2370 0.2500 0.1250  2 V 2.36, 2 W 2.48, 2 Ni 2.49
W1 0.0000 0.0000 0.5000  4 Ni 2.48, 2 V 2.48



Entry 6:
V3NiW | PBE-GGA | relaxed

- Relative energy among the computed polymorphs: 569 meV/atom

abc: 4.5595 4.5595 4.5595
angles: 90.00 90.00 90.00
Closest atoms and distances in Å follow each position.
Space group Pm-3m (No. 221)
Symmetry-distinct sites (fractional):
V1 0.0000 0.0000 0.5000  2 W 2.28
Ni1 0.5000 0.5000 0.5000  12 V 3.22
W1 0.0000 0.0000 0.0000  6 V 2.28



Entry 7:
VNiW2 | PBE-GGA | relaxed

- Relative energy among the computed polymorphs: 65 meV/atom

abc: 6.0982 6.0982 6.0982
angles: 90.00 90.00 90.00
Closest atoms and distances in Å follow each position.
Space group Fm-3m (No. 225)
Symmetry-distinct sites (fractional):
V1 0.0000 0.0000 0.0000  8 W 2.64
Ni1 0.0000 0.0000 0.5000  8 W 2.64
W1 0.2500 0.2500 0.2500  4 Ni 2.64, 4 V 2.64



Entry 8:
VNi4W | PBE-GGA | relaxed

- Relative energy among the computed polymorphs: 49 meV/atom

abc: 6.6161 6.6161 6.6161
angles: 90.00 90.00 90.00
Closest atoms and distances in Å follow each position.
Space group F-43m (No. 216)
Symmetry-distinct sites (fractional):
V1 0.0000 0.0000 0.0000  12 Ni 2.74, 4 W 2.86
Ni1 0.1251 0.1251 0.6251  6 Ni 2.34
W1 0.2500 0.2500 0.2500  12 Ni 2.74, 4 V 2.86



Entry 9:
V3NiW | PBE-GGA | relaxed

- Relative energy among the computed polymorphs: 0 meV/atom

abc: 4.2813 4.2813 4.2813
angles: 90.00 90.00 90.00
Closest atoms and distances in Å follow each position.
Space group Pm-3m (No. 221)
Symmetry-distinct sites (fractional):
V1 0.0000 0.0000 0.5000  2 Ni 2.14
Ni1 0.0000 0.0000 0.0000  6 V 2.14
W1 0.5000 0.5000 0.5000  12 V 3.03



Entry 10:
VNiW3 | PBE-GGA | relaxed

- Relative energy among the computed polymorphs: 0 meV/atom

abc: 4.4632 4.4632 4.4632
angles: 90.00 90.00 90.00
Closest atoms and distances in Å follow each position.
Space group Pm-3m (No. 221)
Symmetry-distinct sites (fractional):
V1 0.0000 0.0000 0.0000  12 W 3.16
Ni1 0.5000 0.5000 0.5000  6 W 2.23
W1 0.0000 0.5000 0.5000  2 Ni 2.23



Entry 11:
VNi6W | PBE-GGA | relaxed

- Relative energy among the computed polymorphs: 721 meV/atom

abc: 6.3041 6.3041 9.2725
angles: 90.00 90.00 120.00
Closest atoms and distances in Å follow each position.
Space group R-3m (No. 166, hexagonal axes)
Symmetry-distinct sites (fractional):
V1 0.0000 0.0000 0.0000  6 Ni 2.31
Ni1 0.0815 0.5408 0.3840  1 V 2.31, 5 Ni 2.33-2.45, 1 W 2.44
W1 0.0000 0.0000 0.5000  6 Ni 2.44



Entry 12:
VNi3W | PBE-GGA | relaxed

- Relative energy among the computed polymorphs: 1105 meV/atom

abc: 4.1658 4.1658 4.1658
angles: 90.00 90.00 90.00
Closest atoms and distances in Å follow each position.
Space group Pm-3m (No. 221)
Symmetry-distinct sites (fractional):
V1 0.0000 0.0000 0.0000  6 Ni 2.08
Ni1 0.0000 0.0000 0.5000  2 V 2.08
W1 0.5000 0.5000 0.5000  12 Ni 2.95